Below is crystalline Nb2CuTcBi at its relaxed geometry, with properties calculated at the PBE-GGA level.

The space group is P4/mmm (No. 123) and the conventional cell measures 5.184, 5.184 and 4.963 Å, with angles of 90.00, 90.00 and 90.00 degrees. The inequivalent atoms are Nb at (0.000, 0.500, 0.000), Cu at (0.000, 0.000, 0.500), Tc at (0.500, 0.500, 0.500) and Bi at (0.500, 0.500, 0.000).

The value obtained for the density of states at the Fermi level is 8.663 states/eV/f.u. For the formation energy, the calculation gives 2261 meV per atom.